Density functional theory data (PBE with a Hubbard U) for a relaxed structure of LiFeP3O9.

Cell and atoms, written as extended XYZ:
```
14
Lattice="6.450 0.009 0.004 -1.906 6.156 0.014 -1.966 -2.576 5.527" Properties=species:S:1:pos:R:3 pbc="T T T"
P -2.363 4.365 2.703
P 1.257 -2.049 5.072
P 4.856 2.889 0.272
O -0.071 -0.488 2.038
O -1.084 3.837 3.558
O -0.454 1.986 0.682
O 3.156 1.566 5.034
O 1.810 -0.526 4.946
O 3.972 3.210 1.605
O 0.472 3.162 5.379
O 2.007 0.546 0.433
O 2.846 4.309 3.539
Fe 2.516 3.538 5.429
Li 0.897 1.243 1.921
```

Values from the calculation:
Fermi-level density of states = 0.00 states/eV/cell
M_tot = 4.0 μB per formula unit
Energy above the most stable polymorph in this dataset = 0.036 eV/atom

=====

Density functional theory data (PBE with a Hubbard U) for a relaxed structure of Li2FeP2O7.

Cell and atoms, written as extended XYZ:
```
48
Lattice="-1.869 0.324 -4.747 -6.458 -3.939 2.621 -6.042 12.036 3.200" Properties=species:S:1:pos:R:3 pbc="T T T"
Li -5.923 -0.241 1.173
Li -10.030 5.116 3.209
Li -7.668 -2.008 -1.353
Li -5.401 3.577 0.714
Li -8.446 8.662 -0.099
Li -4.339 3.305 -2.135
Li -6.701 10.429 2.427
Li -8.968 4.844 0.360
O -11.313 5.207 0.415
O -5.814 -2.139 1.404
O -11.367 7.400 4.531
O -5.353 6.709 -1.648
O -5.431 8.443 0.175
O -3.002 1.021 -3.457
O -5.477 5.197 2.107
O -7.273 5.946 -0.106
O -9.016 1.712 2.723
O -7.227 8.409 -1.649
O -8.892 3.224 -1.033
O -2.123 -0.160 -1.350
O -3.056 3.214 0.659
O -7.096 2.475 1.180
O -12.246 8.581 2.425
O -8.554 10.560 -0.330
O -4.224 0.691 1.672
O -9.781 6.794 2.172
O -4.588 1.627 -1.097
O -8.937 -0.022 0.900
O -5.666 4.267 -1.143
O -4.458 -0.666 -2.160
O -7.142 0.012 2.724
O -7.865 8.440 1.857
O -9.910 9.087 3.234
O -10.144 7.730 -0.597
O -6.504 -0.019 -0.783
O -8.703 4.154 2.217
P -7.896 2.898 2.435
P -11.447 8.728 3.742
P -5.739 8.244 -1.323
P -6.473 5.523 -1.361
P -8.630 0.178 2.397
P -5.450 0.544 -1.756
P -8.919 7.877 2.830
P -2.922 -0.307 -2.668
Fe -8.101 1.415 -0.402
Fe -2.878 1.113 0.100
Fe -11.491 7.308 0.974
Fe -6.268 7.006 1.476
```

Values from the calculation:
Fermi-level density of states = 0.00 states/eV/cell
M_tot = 4.0 μB per formula unit
Energy above the most stable polymorph in this dataset = 0.014 eV/atom

=====

Density functional theory data (PBE with a Hubbard U) for a relaxed structure of LiFeP3O9.

Cell and atoms, written as extended XYZ:
```
28
Lattice="-2.779 1.095 6.418 0.599 -6.377 1.446 5.962 1.167 4.612" Properties=species:S:1:pos:R:3 pbc="T T T"
O -0.298 0.934 6.448
O 0.222 -3.163 8.993
O 3.202 0.939 10.105
O 2.356 -0.630 8.257
O 2.553 -1.529 10.635
O 2.459 -4.176 8.606
O 4.195 -2.094 7.284
O 1.134 -3.382 6.637
O 1.324 0.062 3.870
O -0.413 -2.021 5.192
O 1.426 -3.485 4.218
O 3.560 -0.951 3.482
O 4.428 0.455 7.233
O 1.229 -2.586 1.841
O 2.648 -0.732 5.839
O 4.080 -5.049 6.027
O -0.646 -4.570 5.242
O 0.580 -5.054 2.371
Li 0.881 -0.917 0.990
Li 2.901 -3.197 11.485
Fe -0.671 -0.103 4.603
Fe 4.453 -4.012 7.873
P 2.715 0.036 4.413
P 0.263 -3.340 5.297
P 1.067 -4.150 8.063
P 3.520 -0.775 7.179
P 1.439 -3.816 2.630
P 2.343 -0.298 9.846
```

Values from the calculation:
Fermi-level density of states = 0.00 states/eV/cell
M_tot = 4.0 μB per formula unit
Energy above the most stable polymorph in this dataset = 0.020 eV/atom

=====

Density functional theory data (PBE with a Hubbard U) for a relaxed structure of Li3FeP2O9.

Cell and atoms, written as extended XYZ:
```
30
Lattice="-0.474 6.686 -1.672 -0.526 1.375 6.977 7.322 -2.733 1.173" Properties=species:S:1:pos:R:3 pbc="T T T"
O 4.519 -1.393 2.355
O 4.736 2.809 6.061
O 1.606 2.504 0.590
O 4.693 1.012 4.224
O 3.300 0.424 0.869
O 1.912 6.668 4.073
O 3.037 4.838 5.620
O 4.809 4.671 2.890
O -0.468 7.521 4.006
O 1.593 4.425 2.223
O 4.940 0.335 6.667
O 1.412 4.900 -0.291
O 1.504 0.711 3.569
O 1.921 2.465 5.252
O 4.257 2.810 1.329
O 6.339 4.128 0.855
O -0.518 4.287 4.410
O 6.828 1.115 2.005
Li 4.981 5.017 4.748
Li 4.926 1.089 2.298
Li 1.307 0.790 1.669
Li 1.391 4.175 4.176
Li 3.451 -0.683 4.067
Li 6.936 2.423 -0.100
P 1.386 0.998 5.061
P 4.941 4.224 1.440
P 1.028 3.926 0.888
P 5.281 1.414 5.573
Fe 3.420 1.951 -0.228
Fe 2.686 6.666 5.881
```

Values from the calculation:
Fermi-level density of states = 12.43 states/eV/cell
M_tot = 3.0 μB per formula unit
Energy = -191.392 eV for the cell shown

=====

Density functional theory data (PBE with a Hubbard U) for a relaxed structure of LiFe4P3O12.

Cell and atoms, written as extended XYZ:
```
40
Lattice="8.802 -0.063 -0.001 -0.737 8.771 -0.001 2.045 2.208 5.846" Properties=species:S:1:pos:R:3 pbc="T T T"
O 4.545 3.033 1.872
O 1.999 7.134 0.190
O 8.580 5.992 1.757
O 1.450 4.970 4.051
O 6.339 10.118 4.680
O 6.627 0.825 2.258
O 7.427 5.875 4.444
O 3.247 9.981 3.617
O 3.698 5.868 4.795
O 5.862 4.071 4.284
O 5.625 7.777 4.044
O 2.121 2.211 2.342
O 2.587 5.052 1.360
O 2.165 7.308 2.720
O 7.023 7.500 0.379
O 7.963 8.681 3.302
O 1.338 7.775 5.181
O 6.301 5.100 1.121
O 8.143 3.822 5.643
O 7.982 3.644 3.113
O 3.065 3.388 5.265
O 3.821 0.722 1.128
O 8.680 2.898 0.694
O 4.266 6.751 1.521
Fe 5.008 2.399 5.104
Fe 3.336 7.996 4.446
Fe 0.986 4.073 2.181
Fe 4.333 4.537 0.239
Fe 5.214 5.772 3.162
Fe 5.125 8.483 0.656
Fe 9.087 6.864 3.579
Fe 6.695 2.835 1.523
P 6.487 9.040 3.587
P 7.416 4.295 4.388
P 7.494 6.056 0.664
P 2.536 4.849 5.125
P 3.618 1.796 2.202
P 2.692 6.619 1.465
Li 1.984 1.815 4.521
Li 0.635 1.013 1.598
```

Values from the calculation:
Fermi-level density of states = 0.00 states/eV/cell
M_tot = 16.0 μB per formula unit
Energy above the most stable polymorph in this dataset = 0.000 eV/atom

=====

Density functional theory data (PBE with a Hubbard U) for a relaxed structure of LiFe2P2O8.

Cell and atoms, written as extended XYZ:
```
26
Lattice="5.487 0.000 0.000 0.000 7.771 0.040 0.000 2.159 8.254" Properties=species:S:1:pos:R:3 pbc="T T T"
O 4.870 6.972 5.583
O 4.083 6.918 2.692
O 0.618 5.892 1.456
O 3.595 1.749 4.986
O 4.511 4.115 4.671
O 2.278 3.532 3.648
O 1.009 8.193 4.294
O 1.404 7.998 6.819
O 4.421 2.337 2.797
O 1.730 5.957 5.390
O 4.478 7.113 0.167
O 0.976 3.036 0.544
O 1.892 0.669 0.859
O 3.210 4.612 7.775
O 3.757 4.877 1.263
O 1.067 3.417 6.924
Li 0.951 4.084 5.060
Li 4.536 3.004 0.933
Fe 4.608 8.313 3.861
Fe 1.852 4.354 1.852
Fe 0.879 9.393 7.989
Fe 3.636 5.434 5.979
P 3.676 2.978 4.030
P 0.934 7.264 5.547
P 1.811 4.058 8.157
P 4.554 6.184 1.420
```

Values from the calculation:
Fermi-level density of states = 0.00 states/eV/cell
M_tot = 9.0 μB per formula unit
Energy above the most stable polymorph in this dataset = 0.048 eV/atom

=====

Density functional theory data (PBE with a Hubbard U) for a relaxed structure of Li2FeP2O7.

Cell and atoms, written as extended XYZ:
```
24
Lattice="5.119 -0.005 0.000 -2.403 6.720 0.000 0.000 0.000 8.391" Properties=species:S:1:pos:R:3 pbc="T T T"
P 1.969 3.202 1.554
P 0.747 3.513 5.750
P 0.865 0.547 2.464
P 1.851 6.168 6.660
O 1.314 5.032 5.638
O 1.009 6.162 7.933
O 1.708 0.553 3.738
O 0.761 4.165 1.567
O 4.485 0.766 2.702
O 2.761 3.320 2.858
O 1.403 1.683 1.442
O 1.955 2.550 5.762
O -1.389 5.952 1.675
O 4.105 0.763 5.870
O -0.129 3.339 4.512
O -0.045 3.394 7.053
O -1.769 5.949 6.897
O 2.845 3.376 0.317
Li -0.671 4.360 2.936
Li 1.193 0.674 5.613
Li 3.388 2.355 7.131
Li 1.524 6.041 1.418
Fe 3.405 1.852 4.158
Fe -0.689 4.863 8.353
```

Values from the calculation:
Fermi-level density of states = 0.00 states/eV/cell
M_tot = 4.0 μB per formula unit
Energy above the most stable polymorph in this dataset = 0.001 eV/atom

=====

Density functional theory data (PBE with a Hubbard U) for a relaxed structure of LiFeP3O9.

Cell and atoms, written as extended XYZ:
```
56
Lattice="-0.709 -7.571 -3.883 8.598 -0.481 -0.633 0.351 -4.065 7.861" Properties=species:S:1:pos:R:3 pbc="T T T"
O 5.206 -5.965 3.040
O 3.311 -6.361 4.738
O 4.894 -8.944 3.571
O 7.410 -5.109 1.185
O 7.489 -6.688 5.258
O 2.101 -5.630 0.435
O 1.216 -2.920 2.498
O 0.854 -8.052 4.409
O 2.855 -7.569 1.876
O 0.780 -7.743 0.448
O 2.845 -5.098 -1.931
O 5.332 -2.533 1.638
O 7.111 -8.768 -1.230
O 7.246 -9.782 4.094
O 7.728 -2.520 -0.084
O 3.129 -4.476 3.037
O 7.049 -3.885 3.873
O 1.455 -3.398 -0.614
O 4.760 -4.291 4.914
O 2.314 -10.317 3.332
O 5.851 -11.042 2.458
O 0.451 -7.423 -2.055
O 0.801 -5.053 3.905
O 3.825 -3.928 0.155
O 2.136 -3.083 4.849
O 3.057 -7.716 -0.701
O 7.386 -7.916 2.370
O 4.920 -7.057 -2.941
O 3.309 -1.448 0.472
O 5.662 -6.634 0.098
O 5.325 -2.232 -0.889
O 6.391 -4.478 -1.052
O 7.939 -6.363 -1.012
O 1.302 -4.577 6.722
O 4.923 -9.450 0.715
O -0.043 -9.651 2.633
Fe 7.333 -5.899 3.202
Fe 2.915 -8.353 3.939
Fe 1.198 -1.696 0.660
Fe 5.034 -8.286 -1.111
Li 2.565 -7.049 -2.623
Li 7.451 -3.144 1.894
Li 5.225 -7.747 1.887
Li 1.239 -6.293 5.532
P 2.503 -4.475 -0.608
P 1.122 -10.775 2.539
P 6.811 -5.679 -0.069
P 4.422 -2.463 0.438
P 1.694 -3.898 3.520
P 2.317 -7.234 0.524
P 8.203 -8.977 3.061
P 6.769 -2.907 -1.184
P 6.043 -3.304 4.828
P 5.701 -10.194 3.831
P 4.131 -5.391 3.926
P -0.276 -7.402 -0.735
```

Values from the calculation:
Fermi-level density of states = 0.00 states/eV/cell
M_tot = 4.0 μB per formula unit
Energy above the most stable polymorph in this dataset = 0.004 eV/atom

=====

Density functional theory data (PBE with a Hubbard U) for a relaxed structure of Li2FeP4O12.

Cell and atoms, written as extended XYZ:
```
76
Lattice="-1.732 9.123 -1.167 -8.883 -1.278 3.196 3.226 1.855 9.710" Properties=species:S:1:pos:R:3 pbc="T T T"
P -1.608 9.637 5.480
P -2.247 0.180 1.930
P -1.839 7.311 3.589
P -5.781 0.062 6.260
P -5.142 9.520 9.809
P -0.872 5.759 5.976
P -5.550 2.389 8.151
P -0.188 3.557 9.325
P -2.984 4.058 1.434
P -7.202 6.142 2.414
P -6.469 6.825 6.669
P -4.406 5.641 10.305
P -0.561 8.307 9.482
P -6.518 3.941 5.764
P -6.828 1.392 2.257
P -0.921 2.874 5.071
O -1.504 4.077 1.143
O -0.323 9.675 6.266
O -1.437 3.223 8.568
O -6.541 9.074 10.155
O 0.017 1.964 6.004
O -5.156 3.892 5.116
O -8.161 1.226 2.933
O -1.765 7.975 8.674
O -4.105 7.718 0.706
O -6.936 6.917 8.078
O -8.501 5.989 3.144
O -1.395 8.757 4.149
O -4.096 2.632 7.890
O -2.888 9.259 6.182
O -5.624 1.724 3.065
O -4.564 9.152 8.467
O -3.294 7.068 3.849
O -3.669 5.425 0.999
O -3.720 4.274 10.740
O -2.825 0.548 3.272
O -6.083 2.466 9.549
O -0.929 6.305 4.463
O -0.849 0.625 1.585
O -6.862 4.808 1.572
O 0.303 6.379 6.688
O -6.460 3.394 7.276
O -7.692 3.320 5.052
O -5.885 5.622 10.596
O -7.066 0.024 5.474
O -0.061 2.439 10.481
O 0.771 8.474 8.807
O -7.406 7.735 5.736
O -3.938 5.855 8.889
O -0.418 4.258 5.710
O -6.971 5.441 6.029
O -3.284 1.981 11.034
O -0.527 4.891 10.168
O -5.952 6.476 3.171
O -3.451 3.844 2.850
O -7.328 7.260 1.258
O -2.369 2.640 5.396
O -5.020 7.059 6.343
O -1.306 7.233 2.191
O -0.454 2.782 3.662
O -5.994 0.943 7.590
O 1.111 3.711 8.595
O -4.501 0.440 5.558
O -2.233 5.808 6.623
Fe -3.394 7.521 7.540
Fe -3.995 2.179 4.199
Fe -7.544 7.049 10.016
Fe 0.155 2.650 1.723
Li -9.235 4.523 4.334
Li -2.975 4.319 7.861
Li -2.441 1.509 8.220
Li -4.414 5.380 3.878
Li -4.948 8.190 3.519
Li 1.846 5.177 7.405
Li 2.380 2.367 7.765
Li -9.769 7.333 3.975
```

Values from the calculation:
Fermi-level density of states = 0.00 states/eV/cell
M_tot = 4.0 μB per formula unit
Energy above the most stable polymorph in this dataset = 0.000 eV/atom

=====

Density functional theory data (PBE with a Hubbard U) for a relaxed structure of LiFePO2.

Cell and atoms, written as extended XYZ:
```
5
Lattice="-2.301 -2.675 -1.013 0.208 -1.453 3.364 -3.504 2.520 1.305" Properties=species:S:1:pos:R:3 pbc="T T T"
O -1.150 -1.337 -0.506
O 0.104 -0.727 1.682
Li 0.000 0.000 0.000
P -1.752 1.260 0.653
Fe -2.798 -0.804 1.828
```

Values from the calculation:
Fermi-level density of states = 2.06 states/eV/cell
M_tot = 5.5 μB per formula unit
Energy above the most stable polymorph in this dataset = 0.560 eV/atom